[1]
Here is a relaxed TaTlCuRe crystal from OQMD. Energies are from PBE.

Results
- total moment (μB/cell) = 0.01
- energy relative to the lowest polymorph listed for this composition (eV/atom) = 0.000

```
data_TaTlCuRe
_cell_length_a 6.473
_cell_length_b 6.473
_cell_length_c 6.473
_cell_angle_alpha 90.00
_cell_angle_beta 90.00
_cell_angle_gamma 90.00
_space_group_name_H-M_alt 'F -4 3 m'
_space_group_IT_number 216
_space_group_name_Hall 'F -4 2 3'
loop_
_atom_site_label
_atom_site_type_symbol
_atom_site_fract_x
_atom_site_fract_y
_atom_site_fract_z
Ta1 Ta 0.000 0.000 0.000
Tl1 Tl 0.000 0.000 0.500
Cu1 Cu 0.250 0.250 0.750
Re1 Re 0.250 0.250 0.250
```

[2]
Here is a relaxed TlCuReTc crystal from OQMD. Energies are from PBE.

Results
- total moment (μB/cell) = 0.01
- energy relative to the lowest polymorph listed for this composition (eV/atom) = 0.000

```
data_TlCuReTc
_cell_length_a 6.332
_cell_length_b 6.332
_cell_length_c 6.332
_cell_angle_alpha 90.00
_cell_angle_beta 90.00
_cell_angle_gamma 90.00
_space_group_name_H-M_alt 'F -4 3 m'
_space_group_IT_number 216
_space_group_name_Hall 'F -4 2 3'
loop_
_atom_site_label
_atom_site_type_symbol
_atom_site_fract_x
_atom_site_fract_y
_atom_site_fract_z
Tl1 Tl 0.000 0.000 0.000
Cu1 Cu 0.250 0.250 0.750
Re1 Re 0.000 0.000 0.500
Tc1 Tc 0.250 0.250 0.250
```

[3]
Here is a relaxed CuRe3Te5 crystal from OQMD. Energies are from PBE.

Results
- total moment (μB/cell) = 2.40

```
data_CuRe3Te5
_cell_length_a 5.8576
_cell_length_b 5.8576
_cell_length_c 7.9108
_cell_angle_alpha 90.00
_cell_angle_beta 90.00
_cell_angle_gamma 120.00
_space_group_name_H-M_alt 'P 6/m m m'
_space_group_IT_number 191
_space_group_name_Hall '-P 6 2'
loop_
_atom_site_label
_atom_site_type_symbol
_atom_site_fract_x
_atom_site_fract_y
_atom_site_fract_z
Cu1 Cu 0.0000 0.0000 0.0000
Re1 Re 0.0000 0.5000 0.5000
Te1 Te 0.0000 0.0000 0.5000
Te2 Te 0.3333 0.6667 0.2324
```

[4]
Here is a relaxed TlCu3ReTe4 crystal from OQMD. Energies are from PBE.

Results
- total moment (μB/cell) = 1.41

```
data_TlCu3ReTe4
_cell_length_a 6.436
_cell_length_b 6.436
_cell_length_c 6.436
_cell_angle_alpha 90.00
_cell_angle_beta 90.00
_cell_angle_gamma 90.00
_space_group_name_H-M_alt 'P -4 3 m'
_space_group_IT_number 215
_space_group_name_Hall 'P -4 2 3'
loop_
_atom_site_label
_atom_site_type_symbol
_atom_site_fract_x
_atom_site_fract_y
_atom_site_fract_z
Tl1 Tl 0.000 0.000 0.000
Cu1 Cu 0.000 0.500 0.500
Re1 Re 0.500 0.500 0.500
Te1 Te 0.271 0.271 0.271
```

[5]
Here is a relaxed TlCuReW crystal from OQMD. Energies are from PBE.

Results
- total moment (μB/cell) = 0.01
- energy relative to the lowest polymorph listed for this composition (eV/atom) = 0.000

```
data_TlCuReW
_cell_length_a 6.396
_cell_length_b 6.396
_cell_length_c 6.396
_cell_angle_alpha 90.00
_cell_angle_beta 90.00
_cell_angle_gamma 90.00
_space_group_name_H-M_alt 'F -4 3 m'
_space_group_IT_number 216
_space_group_name_Hall 'F -4 2 3'
loop_
_atom_site_label
_atom_site_type_symbol
_atom_site_fract_x
_atom_site_fract_y
_atom_site_fract_z
Tl1 Tl 0.000 0.000 0.000
Cu1 Cu 0.250 0.250 0.250
Re1 Re 0.250 0.250 0.750
W1 W 0.000 0.000 0.500
```

[6]
Here is a relaxed TlZnCuRe crystal from OQMD. Energies are from PBE.

Results
- total moment (μB/cell) = 2.43
- energy relative to the lowest polymorph listed for this composition (eV/atom) = 0.000

```
data_TlZnCuRe
_cell_length_a 6.389
_cell_length_b 6.389
_cell_length_c 6.389
_cell_angle_alpha 90.00
_cell_angle_beta 90.00
_cell_angle_gamma 90.00
_space_group_name_H-M_alt 'F -4 3 m'
_space_group_IT_number 216
_space_group_name_Hall 'F -4 2 3'
loop_
_atom_site_label
_atom_site_type_symbol
_atom_site_fract_x
_atom_site_fract_y
_atom_site_fract_z
Tl1 Tl 0.000 0.000 0.000
Zn1 Zn 0.000 0.000 0.500
Cu1 Cu 0.250 0.250 0.250
Re1 Re 0.250 0.250 0.750
```

[7]
Here is a relaxed TlZnCuRe crystal from OQMD. Energies are from PBE.

Results
- total moment (μB/cell) = 2.62
- energy relative to the lowest polymorph listed for this composition (eV/atom) = 0.053

```
data_TlZnCuRe
_cell_length_a 6.342
_cell_length_b 6.342
_cell_length_c 6.342
_cell_angle_alpha 90.00
_cell_angle_beta 90.00
_cell_angle_gamma 90.00
_space_group_name_H-M_alt 'F -4 3 m'
_space_group_IT_number 216
_space_group_name_Hall 'F -4 2 3'
loop_
_atom_site_label
_atom_site_type_symbol
_atom_site_fract_x
_atom_site_fract_y
_atom_site_fract_z
Tl1 Tl 0.000 0.000 0.000
Zn1 Zn 0.250 0.250 0.750
Cu1 Cu 0.250 0.250 0.250
Re1 Re 0.000 0.000 0.500
```

[8]
Here is a relaxed TmCuRe crystal from OQMD. Energies are from PBE.

Results
- total moment (μB/cell) = 8.31
- energy of formation (kJ/mol of atoms) = 135.45

```
data_TmCuRe
_cell_length_a 6.381
_cell_length_b 6.381
_cell_length_c 6.381
_cell_angle_alpha 90.00
_cell_angle_beta 90.00
_cell_angle_gamma 90.00
_space_group_name_H-M_alt 'F -4 3 m'
_space_group_IT_number 216
_space_group_name_Hall 'F -4 2 3'
loop_
_atom_site_label
_atom_site_type_symbol
_atom_site_fract_x
_atom_site_fract_y
_atom_site_fract_z
Tm1 Tm 0.000 0.000 0.000
Cu1 Cu 0.250 0.250 0.750
Re1 Re 0.250 0.250 0.250
```

[9]
Here is a relaxed ZnCuReW crystal from OQMD. Energies are from PBE.

Results
- total moment (μB/cell) = 0.00
- energy of formation (kJ/mol of atoms) = 29.34
- energy relative to the lowest polymorph listed for this composition (eV/atom) = 0.000

```
data_ZnCuReW
_cell_length_a 6.120
_cell_length_b 6.120
_cell_length_c 6.120
_cell_angle_alpha 90.00
_cell_angle_beta 90.00
_cell_angle_gamma 90.00
_space_group_name_H-M_alt 'F -4 3 m'
_space_group_IT_number 216
_space_group_name_Hall 'F -4 2 3'
loop_
_atom_site_label
_atom_site_type_symbol
_atom_site_fract_x
_atom_site_fract_y
_atom_site_fract_z
Zn1 Zn 0.000 0.000 0.000
Cu1 Cu 0.250 0.250 0.250
Re1 Re 0.250 0.250 0.750
W1 W 0.000 0.000 0.500
```

[10]
Here is a relaxed ZrCuReW crystal from OQMD. Energies are from PBE.

Results
- total moment (μB/cell) = 0.00
- energy of formation (kJ/mol of atoms) = 12.76
- energy relative to the lowest polymorph listed for this composition (eV/atom) = 0.054

```
data_ZrCuReW
_cell_length_a 6.352
_cell_length_b 6.352
_cell_length_c 6.352
_cell_angle_alpha 90.00
_cell_angle_beta 90.00
_cell_angle_gamma 90.00
_space_group_name_H-M_alt 'F -4 3 m'
_space_group_IT_number 216
_space_group_name_Hall 'F -4 2 3'
loop_
_atom_site_label
_atom_site_type_symbol
_atom_site_fract_x
_atom_site_fract_y
_atom_site_fract_z
Zr1 Zr 0.000 0.000 0.000
Cu1 Cu 0.250 0.250 0.250
Re1 Re 0.000 0.000 0.500
W1 W 0.250 0.250 0.750
```

[11]
Here is a relaxed ZrCuReW crystal from OQMD. Energies are from PBE.

Results
- total moment (μB/cell) = 0.00
- energy of formation (kJ/mol of atoms) = 7.59
- energy relative to the lowest polymorph listed for this composition (eV/atom) = 0.000

```
data_ZrCuReW
_cell_length_a 6.375
_cell_length_b 6.375
_cell_length_c 6.375
_cell_angle_alpha 90.00
_cell_angle_beta 90.00
_cell_angle_gamma 90.00
_space_group_name_H-M_alt 'F -4 3 m'
_space_group_IT_number 216
_space_group_name_Hall 'F -4 2 3'
loop_
_atom_site_label
_atom_site_type_symbol
_atom_site_fract_x
_atom_site_fract_y
_atom_site_fract_z
Zr1 Zr 0.000 0.000 0.000
Cu1 Cu 0.250 0.250 0.250
Re1 Re 0.250 0.250 0.750
W1 W 0.000 0.000 0.500
```

[12]
Here is a relaxed YZnCuRe crystal from OQMD. Energies are from PBE.

Results
- total moment (μB/cell) = 3.76
- energy of formation (kJ/mol of atoms) = 53.25
- energy relative to the lowest polymorph listed for this composition (eV/atom) = 0.108

```
data_YZnCuRe
_cell_length_a 6.544
_cell_length_b 6.544
_cell_length_c 6.544
_cell_angle_alpha 90.00
_cell_angle_beta 90.00
_cell_angle_gamma 90.00
_space_group_name_H-M_alt 'F -4 3 m'
_space_group_IT_number 216
_space_group_name_Hall 'F -4 2 3'
loop_
_atom_site_label
_atom_site_type_symbol
_atom_site_fract_x
_atom_site_fract_y
_atom_site_fract_z
Y1 Y 0.000 0.000 0.000
Zn1 Zn 0.250 0.250 0.250
Cu1 Cu 0.000 0.000 0.500
Re1 Re 0.250 0.250 0.750
```

[13]
Here is a relaxed YZnCuRe crystal from OQMD. Energies are from PBE.

Results
- total moment (μB/cell) = 2.11
- energy of formation (kJ/mol of atoms) = 42.83
- energy relative to the lowest polymorph listed for this composition (eV/atom) = 0.000

```
data_YZnCuRe
_cell_length_a 6.516
_cell_length_b 6.516
_cell_length_c 6.516
_cell_angle_alpha 90.00
_cell_angle_beta 90.00
_cell_angle_gamma 90.00
_space_group_name_H-M_alt 'F -4 3 m'
_space_group_IT_number 216
_space_group_name_Hall 'F -4 2 3'
loop_
_atom_site_label
_atom_site_type_symbol
_atom_site_fract_x
_atom_site_fract_y
_atom_site_fract_z
Y1 Y 0.000 0.000 0.000
Zn1 Zn 0.000 0.000 0.500
Cu1 Cu 0.250 0.250 0.750
Re1 Re 0.250 0.250 0.250
```

[14]
Here is a relaxed ZnCu2Re crystal from OQMD. Energies are from PBE.

Results
- total moment (μB/cell) = 6.52
- energy of formation (kJ/mol of atoms) = 46.81

```
data_ZnCu2Re
_cell_length_a 5.951
_cell_length_b 5.951
_cell_length_c 5.951
_cell_angle_alpha 90.00
_cell_angle_beta 90.00
_cell_angle_gamma 90.00
_space_group_name_H-M_alt 'F -4 3 m'
_space_group_IT_number 216
_space_group_name_Hall 'F -4 2 3'
loop_
_atom_site_label
_atom_site_type_symbol
_atom_site_fract_x
_atom_site_fract_y
_atom_site_fract_z
Zn1 Zn 0.000 0.000 0.000
Cu1 Cu 0.000 0.000 0.500
Cu2 Cu 0.250 0.250 0.750
Re1 Re 0.250 0.250 0.250
```

[15]
Here is a relaxed Zn2CuRe crystal from OQMD. Energies are from PBE.

Results
- total moment (μB/cell) = 4.24
- energy of formation (kJ/mol of atoms) = 40.92
- energy relative to the lowest polymorph listed for this composition (eV/atom) = 0.000

```
data_Zn2CuRe
_cell_length_a 6.036
_cell_length_b 6.036
_cell_length_c 6.036
_cell_angle_alpha 90.00
_cell_angle_beta 90.00
_cell_angle_gamma 90.00
_space_group_name_H-M_alt 'F m -3 m'
_space_group_IT_number 225
_space_group_name_Hall '-F 4 2 3'
loop_
_atom_site_label
_atom_site_type_symbol
_atom_site_fract_x
_atom_site_fract_y
_atom_site_fract_z
Zn1 Zn 0.250 0.250 0.250
Cu1 Cu 0.000 0.000 0.000
Re1 Re 0.000 0.000 0.500
```

[16]
Here is a relaxed ZnCuRe crystal from OQMD. Energies are from PBE.

Results
- total moment (μB/cell) = 0.01
- energy of formation (kJ/mol of atoms) = 68.81
- energy relative to the lowest polymorph listed for this composition (eV/atom) = 0.000

```
data_ZnCuRe
_cell_length_a 4.5356
_cell_length_b 4.5356
_cell_length_c 2.4987
_cell_angle_alpha 90.00
_cell_angle_beta 90.00
_cell_angle_gamma 120.00
_space_group_name_H-M_alt 'P -6 m 2'
_space_group_IT_number 187
_space_group_name_Hall 'P -6 2'
loop_
_atom_site_label
_atom_site_type_symbol
_atom_site_fract_x
_atom_site_fract_y
_atom_site_fract_z
Zn1 Zn 0.0000 0.0000 0.0000
Cu1 Cu 0.6667 0.3333 0.0000
Re1 Re 0.3333 0.6667 0.0000
```

[17]
Here is a relaxed CuS crystal from OQMD. Energies are from PBE.

```
data_CuS
_cell_length_a 5.194
_cell_length_b 5.194
_cell_length_c 5.194
_cell_angle_alpha 90.00
_cell_angle_beta 90.00
_cell_angle_gamma 90.00
_space_group_name_H-M_alt 'F -4 3 m'
_space_group_IT_number 216
_space_group_name_Hall 'F -4 2 3'
loop_
_atom_site_label
_atom_site_type_symbol
_atom_site_fract_x
_atom_site_fract_y
_atom_site_fract_z
Cu1 Cu 0.000 0.000 0.000
S1 S 0.250 0.250 0.750
```

[18]
Here is a relaxed Cu2S crystal from OQMD. Energies are from PBE.

```
data_Cu2S
_cell_length_a 5.062
_cell_length_b 5.062
_cell_length_c 3.776
_cell_angle_alpha 90.00
_cell_angle_beta 90.00
_cell_angle_gamma 90.00
_space_group_name_H-M_alt 'P 42/m n m'
_space_group_IT_number 136
_space_group_name_Hall '-P 4n 2n'
loop_
_atom_site_label
_atom_site_type_symbol
_atom_site_fract_x
_atom_site_fract_y
_atom_site_fract_z
Cu1 Cu 0.188 0.188 0.000
S1 S 0.000 0.000 0.500
```

[19]
Here is a relaxed Cu2S crystal from OQMD. Energies are from PBE.

```
data_Cu2S
_cell_length_a 7.094
_cell_length_b 6.374
_cell_length_c 3.941
_cell_angle_alpha 90.00
_cell_angle_beta 90.00
_cell_angle_gamma 90.00
_space_group_name_H-M_alt 'P m n a'
_space_group_IT_number 53
loop_
_space_group_symop_operation_xyz
'x,y,z'
'-x,-y,-z'
'-x+1/2,-y,z+1/2'
'x+1/2,y,-z+1/2'
'x,-y,-z'
'-x,y,z'
'-x+1/2,y,-z+1/2'
'x+1/2,-y,z+1/2'
loop_
_atom_site_label
_atom_site_type_symbol
_atom_site_fract_x
_atom_site_fract_y
_atom_site_fract_z
Cu1 Cu 0.000 0.107 0.249
Cu2 Cu 0.250 0.387 0.250
S1 S 0.000 0.287 0.748
```

[20]
Here is a relaxed CuS crystal from OQMD. Energies are from PBE.

```
data_CuS
_cell_length_a 3.8059
_cell_length_b 3.8059
_cell_length_c 16.6383
_cell_angle_alpha 90.00
_cell_angle_beta 90.00
_cell_angle_gamma 120.00
_space_group_name_H-M_alt 'P 63/m m c'
_space_group_IT_number 194
_space_group_name_Hall '-P 6c 2c'
loop_
_atom_site_label
_atom_site_type_symbol
_atom_site_fract_x
_atom_site_fract_y
_atom_site_fract_z
Cu1 Cu 0.3333 0.6667 0.0963
Cu2 Cu 0.3333 0.6667 0.2500
S1 S 0.0000 0.0000 0.0641
S2 S 0.3333 0.6667 0.7500
```

| no. | VASP energy (eV/cell) |
| --- | --- |
| 1 | -112.41 |
| 2 | -104.35 |
| 3 | -51.02 |
| 4 | -36.22 |
| 5 | -113.29 |
| 6 | -66.20 |
| 7 | -65.35 |
| 8 | -65.61 |
| 9 | -116.59 |
| 10 | -148.47 |
| 11 | -149.33 |
| 12 | -86.65 |
| 13 | -88.38 |
| 14 | -76.72 |
| 15 | -67.89 |
| 16 | -15.27 |
| 17 | -32.82 |
| 18 | -23.16 |
| 19 | -44.84 |
| 20 | -48.25 |